(1)
# Ho6Mg5Cd | Alexandria | PBE-GGA | relaxed
data_Ho6Mg5Cd
_chemical_formula_sum 'Ho6 Mg5 Cd1'
_symmetry_space_group_name_H-M 'P 1'
_symmetry_Int_Tables_number 1
_symmetry_space_group_name_Hall 'P 1'
_cell_length_a 5.339
_cell_length_b 7.485
_cell_length_c 8.451
_cell_angle_alpha 90.00
_cell_angle_beta 71.59
_cell_angle_gamma 90.01
loop_
_atom_site_label
_atom_site_type_symbol
_atom_site_fract_x
_atom_site_fract_y
_atom_site_fract_z
Mg1 Mg 0.664 0.500 0.665
Mg2 Mg 0.333 0.000 0.339
Mg3 Mg 0.000 0.500 0.000
Mg4 Mg 0.667 0.000 0.661
Mg5 Mg 0.336 0.500 0.335
Ho1 Ho 0.837 0.750 0.331
Ho2 Ho 0.837 0.250 0.331
Ho3 Ho 0.500 0.249 0.000
Ho4 Ho 0.500 0.751 0.000
Ho5 Ho 0.163 0.750 0.669
Ho6 Ho 0.163 0.250 0.669
Cd1 Cd 0.000 0.000 0.000
# formation energy: -0.11 eV per atom
# space-group type: No. 10
# D(E_F): 16.326 states/eV per cell
# E_tot: -37.7 eV for the cell shown

(2)
# Ho4MgCd7 | Alexandria | PBE-GGA | relaxed
data_Ho4MgCd7
_chemical_formula_sum 'Ho4 Mg1 Cd7'
_symmetry_space_group_name_H-M 'P 1'
_symmetry_Int_Tables_number 1
_symmetry_space_group_name_Hall 'P 1'
_cell_length_a 5.366
_cell_length_b 10.067
_cell_length_c 6.645
_cell_angle_alpha 81.81
_cell_angle_beta 66.19
_cell_angle_gamma 74.54
loop_
_atom_site_label
_atom_site_type_symbol
_atom_site_fract_x
_atom_site_fract_y
_atom_site_fract_z
Ho1 Ho 0.588 0.223 0.601
Ho2 Ho 0.412 0.777 0.399
Ho3 Ho 0.742 0.681 0.836
Ho4 Ho 0.258 0.319 0.164
Mg1 Mg 0.000 0.000 0.000
Cd1 Cd 0.799 0.921 0.481
Cd2 Cd 0.201 0.079 0.519
Cd3 Cd 0.075 0.664 0.187
Cd4 Cd 0.925 0.336 0.813
Cd5 Cd 0.367 0.521 0.745
Cd6 Cd 0.500 0.000 0.000
Cd7 Cd 0.633 0.479 0.255
# formation energy: -0.10 eV per atom
# space-group type: No. 12
# D(E_F): 6.854 states/eV per cell
# E_tot: -27.6 eV for the cell shown

(3)
# Ho3Mg7Cd | Alexandria | PBE-GGA | relaxed
data_Ho3Mg7Cd
_chemical_formula_sum 'Ho6 Mg14 Cd2'
_symmetry_space_group_name_H-M 'P 1'
_symmetry_Int_Tables_number 1
_symmetry_space_group_name_Hall 'P 1'
_cell_length_a 3.294
_cell_length_b 11.449
_cell_length_c 15.259
_cell_angle_alpha 90.00
_cell_angle_beta 90.00
_cell_angle_gamma 98.27
loop_
_atom_site_label
_atom_site_type_symbol
_atom_site_fract_x
_atom_site_fract_y
_atom_site_fract_z
Ho1 Ho 0.121 0.241 0.452
Ho2 Ho 0.879 0.759 0.548
Ho3 Ho 0.264 0.528 0.750
Ho4 Ho 0.736 0.472 0.250
Ho5 Ho 0.121 0.241 0.048
Ho6 Ho 0.879 0.759 0.952
Mg1 Mg 0.414 0.827 0.750
Mg2 Mg 0.586 0.173 0.250
Mg3 Mg 0.494 0.988 0.408
Mg4 Mg 0.506 0.012 0.592
Mg5 Mg 0.506 0.012 0.908
Mg6 Mg 0.494 0.988 0.092
Mg7 Mg 0.372 0.743 0.345
Mg8 Mg 0.628 0.257 0.655
Mg9 Mg 0.264 0.527 0.426
Mg10 Mg 0.736 0.473 0.574
Mg11 Mg 0.736 0.473 0.926
Mg12 Mg 0.264 0.527 0.074
Mg13 Mg 0.372 0.743 0.155
Mg14 Mg 0.628 0.257 0.845
Cd1 Cd 0.967 0.933 0.250
Cd2 Cd 0.033 0.067 0.750
# formation energy: 0.06 eV per atom
# space-group type: No. 63
# D(E_F): 16.836 states/eV per cell
# E_tot: -50.3 eV for the cell shown

(4)
# Ho3Mg4Cd2 | Alexandria | PBE-GGA | relaxed
data_Ho3Mg4Cd2
_chemical_formula_sum 'Ho3 Mg4 Cd2'
_symmetry_space_group_name_H-M 'P 1'
_symmetry_Int_Tables_number 1
_symmetry_space_group_name_Hall 'P 1'
_cell_length_a 5.237
_cell_length_b 5.324
_cell_length_c 9.375
_cell_angle_alpha 95.79
_cell_angle_beta 90.00
_cell_angle_gamma 119.46
loop_
_atom_site_label
_atom_site_type_symbol
_atom_site_fract_x
_atom_site_fract_y
_atom_site_fract_z
Ho1 Ho 0.636 0.271 0.753
Ho2 Ho 0.000 0.000 0.000
Ho3 Ho 0.364 0.729 0.247
Mg1 Mg 0.679 0.358 0.098
Mg2 Mg 0.321 0.642 0.902
Mg3 Mg 0.954 0.907 0.649
Mg4 Mg 0.046 0.093 0.351
Cd1 Cd 0.713 0.425 0.407
Cd2 Cd 0.287 0.575 0.593
# formation energy: -0.10 eV per atom
# space-group type: No. 12
# D(E_F): 4.975 states/eV per cell
# relative energy among the computed polymorphs: 62 meV/atom
# E_tot: -22.9 eV for the cell shown